1.
First-principles (PBE-GGA) data for a relaxed structure of Ac4FeSn8, as listed in Alexandria.

Geometry as POSCAR:
```
Ac4FeSn8
1.0
4.642 0.000 0.000
0.000 4.796 0.000
0.000 0.000 17.948
Ac Sn Fe
4 8 1
Direct
0.000 0.000 0.103
0.500 0.000 0.897
0.000 0.500 0.604
0.500 0.500 0.397
0.000 0.500 0.945
0.500 0.000 0.245
0.000 0.000 0.450
0.000 0.500 0.245
0.500 0.500 0.754
0.500 0.000 0.558
0.500 0.500 0.055
0.000 0.000 0.746
0.000 0.000 0.304
```

Values from the calculation:
VASP energy: -4.89 eV per atom

2.
First-principles (PBE-GGA) data for a relaxed structure of Ac2FeSn, as listed in Alexandria.

Geometry as POSCAR:
```
Ac2FeSn
1.0
3.726 0.000 0.000
1.863 3.226 0.000
1.863 1.075 10.835
Sn Fe Ac
1 1 2
Direct
0.500 0.500 0.500
0.000 0.000 0.000
0.918 0.918 0.246
0.082 0.082 0.754
```

Values from the calculation:
VASP energy: -4.61 eV per atom

3.
First-principles (PBE-GGA) data for a relaxed structure of SrAc3Fe, as listed in Alexandria.

Geometry as POSCAR:
```
SrAc3Fe
1.0
-4.966 -0.510 2.950
-0.694 -5.362 -2.095
2.912 -2.147 4.531
Ac Fe Sr
3 1 1
Direct
0.500 0.000 0.000
0.000 0.500 0.000
0.000 0.000 0.500
0.000 0.000 0.000
0.500 0.500 0.500
```

Values from the calculation:
VASP energy: -4.37 eV per atom

4.
First-principles (PBE-GGA) data for a relaxed structure of AcTb3Fe, as listed in Alexandria.

Geometry as POSCAR:
```
AcTb3Fe
1.0
5.386 0.000 0.000
0.000 5.386 0.000
0.000 0.000 5.386
Fe Tb Ac
1 3 1
Direct
0.000 0.000 0.000
0.000 0.500 0.000
0.000 0.000 0.500
0.500 0.000 0.000
0.500 0.500 0.500
```

Values from the calculation:
VASP energy: -5.19 eV per atom

5.
First-principles (PBE-GGA) data for a relaxed structure of AcTbFe4, as listed in Alexandria.

Geometry as POSCAR:
```
AcTbFe4
1.0
5.286 0.000 0.000
2.643 4.578 0.000
2.643 1.526 4.316
Fe Tb Ac
4 1 1
Direct
0.626 0.626 0.123
0.626 0.123 0.626
0.626 0.626 0.626
0.123 0.626 0.626
0.000 0.000 0.000
0.250 0.250 0.250
```

Values from the calculation:
VASP energy: -6.98 eV per atom

6.
First-principles (PBE-GGA) data for a relaxed structure of Ac3FeTe, as listed in Alexandria.

Geometry as POSCAR:
```
Ac3FeTe
1.0
-1.953 -5.151 0.396
4.556 -1.917 -2.465
2.436 -0.545 4.927
Ac Fe Te
3 1 1
Direct
0.000 0.500 0.000
0.000 0.000 0.500
0.500 0.000 0.000
0.000 0.000 0.000
0.500 0.500 0.500
```

Values from the calculation:
ΔE_f (raw): -0.33 eV/atom

7.
First-principles (PBE-GGA) data for a relaxed structure of Ac4TlFe, as listed in Alexandria.

Geometry as POSCAR:
```
Ac4TlFe
1.0
-4.301 5.171 1.103
-4.589 -0.371 -5.933
-0.577 -7.804 6.820
Ac Fe Tl
8 2 2
Direct
0.068 0.229 0.999
0.683 0.348 0.225
0.460 0.127 0.769
0.540 0.873 0.231
0.825 0.307 0.617
0.175 0.693 0.383
0.317 0.652 0.775
0.932 0.771 0.001
0.691 0.507 0.023
0.309 0.493 0.977
0.788 0.790 0.582
0.212 0.210 0.418
```

Values from the calculation:
VASP energy: -4.57 eV per atom

8.
First-principles (PBE-GGA) data for a relaxed structure of Ac12Tl6Fe, as listed in Alexandria.

Geometry as POSCAR:
```
Ac12Tl6Fe
1.0
-1.158 2.652 -8.643
-2.996 -8.460 -1.593
-8.190 3.020 2.625
Ac Tl Fe
12 6 1
Direct
0.803 0.581 0.451
0.035 0.925 0.697
0.581 0.451 0.803
0.075 0.303 0.965
0.925 0.697 0.035
0.549 0.197 0.419
0.965 0.075 0.303
0.197 0.419 0.549
0.451 0.803 0.581
0.697 0.035 0.925
0.303 0.965 0.075
0.419 0.549 0.197
0.860 0.265 0.644
0.644 0.860 0.265
0.735 0.356 0.140
0.140 0.735 0.356
0.356 0.140 0.735
0.265 0.644 0.860
0.000 0.000 0.000
```

Values from the calculation:
VASP energy: -3.91 eV per atom

no.,density of states at the Fermi level (states/eV/cell),total magnetization (μB/f.u.)
1,7.95,2.34
2,5.01,1.57
3,5.69,0.03
4,8.18,0.00
5,5.80,7.90
6,6.05,0.00
7,14.58,0.98
8,21.90,0.00